The following is a DFT calculation (PBE) of a relaxed Tb2ZrPa2Ru5 crystal.

Cell lengths 10.6427, 10.6427, 3.5506 Å; angles 90.00, 90.00, 90.00 degrees
With the nearest neighbours (Å) after each atom.
Sites, in units of the cell vectors:
Tb (0.1705, 0.3295, 0.0000)  1 Pa 2.85, 2 Ru 3.12
Tb (0.3295, 0.8295, 0.0000)  1 Pa 2.85, 2 Ru 3.12
Tb (0.6705, 0.1705, 0.0000)  1 Pa 2.85, 2 Ru 3.12
Tb (0.8295, 0.6705, 0.0000)  1 Pa 2.85, 2 Ru 3.12
Zr (0.0000, 0.0000, 0.0000)  8 Ru 2.82
Zr (0.5000, 0.5000, 0.0000)  8 Ru 2.82
Pa (0.1400, 0.6400, 0.0000)  6 Ru 2.64-2.76, 1 Tb 2.85
Pa (0.3600, 0.1400, 0.0000)  6 Ru 2.64-2.76, 1 Tb 2.85
Pa (0.6400, 0.8600, 0.0000)  6 Ru 2.64-2.76, 1 Tb 2.85
Pa (0.8600, 0.3600, 0.0000)  6 Ru 2.64-2.76, 1 Tb 2.85
Ru (0.0000, 0.5000, 0.5000)  4 Pa 2.76
Ru (0.0509, 0.8000, 0.5000)  2 Pa 2.64, 2 Zr 2.82
Ru (0.2000, 0.0509, 0.5000)  2 Pa 2.64, 2 Zr 2.82
Ru (0.3000, 0.5509, 0.5000)  2 Pa 2.64, 2 Zr 2.82
Ru (0.4491, 0.3000, 0.5000)  2 Pa 2.64, 2 Zr 2.82
Ru (0.5000, 0.0000, 0.5000)  4 Pa 2.76
Ru (0.5509, 0.7000, 0.5000)  2 Pa 2.64, 2 Zr 2.82
Ru (0.7000, 0.4491, 0.5000)  2 Pa 2.64, 2 Zr 2.82
Ru (0.8000, 0.9491, 0.5000)  2 Pa 2.64, 2 Zr 2.82
Ru (0.9491, 0.2000, 0.5000)  2 Pa 2.64, 2 Zr 2.82

The theoretical density is 11.37 Mg/m³. The calculation puts the total magnetization at 0.0 μB/f.u. The formation energy from the elements is -0.325 eV/atom.